1.
Entry from Alexandria: crystalline Tb2Cd2Ag at its relaxed geometry (PBE).

CIF file:
```
data_Tb2Cd2Ag
_space_group_name_H-M_alt 'C m m m'
_space_group_IT_number 65
_space_group_name_Hall '-C 2 2'
_cell_length_a 3.6250
_cell_length_b 20.5022
_cell_length_c 3.4661
_cell_angle_alpha 90.00
_cell_angle_beta 90.00
_cell_angle_gamma 90.00
loop_
_atom_site_label
_atom_site_type_symbol
_atom_site_fract_x
_atom_site_fract_y
_atom_site_fract_z
_atom_site_occupancy
Tb1 Tb 0.0000 0.0928 0.0000 1
Cd1 Cd 0.0000 0.3054 0.5000 1
Ag1 Ag 0.0000 0.5000 0.5000 1
```

Values from the calculation:
ρ: 8.4 g/cm³
E above lowest polymorph: 0.0000 eV/atom
magnetic moment: 0.00 μB/atom
uncorrected energy: -2.985 eV/atom

***

2.
Entry from Alexandria: crystalline TbCd5Ag8 at its relaxed geometry (PBE).

CIF file:
```
data_TbCd5Ag8
_space_group_name_H-M_alt 'I -4'
_space_group_IT_number 82
_cell_length_a 8.1631
_cell_length_b 8.1631
_cell_length_c 8.8462
_cell_angle_alpha 90.00
_cell_angle_beta 90.00
_cell_angle_gamma 90.00
loop_
_space_group_symop_operation_xyz
'x,y,z'
'y,-x,-z'
'-x,-y,z'
'-y,x,-z'
'x+1/2,y+1/2,z+1/2'
'y+1/2,-x+1/2,-z+1/2'
'-x+1/2,-y+1/2,z+1/2'
'-y+1/2,x+1/2,-z+1/2'
loop_
_atom_site_label
_atom_site_type_symbol
_atom_site_fract_x
_atom_site_fract_y
_atom_site_fract_z
_atom_site_occupancy
Tb1 Tb 0.0000 0.0000 0.0000 1
Cd1 Cd 0.0000 0.5000 0.7500 1
Cd2 Cd 0.1464 0.7174 0.3280 1
Ag1 Ag 0.0709 0.8394 0.6435 1
Ag2 Ag 0.1000 0.6478 0.0156 1
```

Values from the calculation:
ρ: 8.9 g/cm³
magnetic moment: 0.00 μB/atom
uncorrected energy: -2.299 eV/atom

***

3.
Entry from Alexandria: crystalline Tb3Cd7Ag at its relaxed geometry (PBE).

CIF file:
```
data_Tb3Cd7Ag
_space_group_name_H-M_alt 'P -1'
_space_group_IT_number 2
_cell_length_a 3.4660
_cell_length_b 11.4580
_cell_length_c 13.5999
_cell_angle_alpha 84.63
_cell_angle_beta 82.80
_cell_angle_gamma 89.98
loop_
_space_group_symop_operation_xyz
'x,y,z'
'-x,-y,-z'
loop_
_atom_site_label
_atom_site_type_symbol
_atom_site_fract_x
_atom_site_fract_y
_atom_site_fract_z
_atom_site_occupancy
Tb1 Tb 0.0690 0.3728 0.3595 1
Tb2 Tb 0.0747 0.0343 0.3447 1
Tb3 Tb 0.2279 0.7207 0.0402 1
Cd1 Cd 0.2027 0.4382 0.0998 1
Cd2 Cd 0.2140 0.0682 0.0733 1
Cd3 Cd 0.3408 0.1150 0.8212 1
Cd4 Cd 0.3571 0.7747 0.7943 1
Cd5 Cd 0.3598 0.4132 0.7795 1
Cd6 Cd 0.4668 0.4026 0.5678 1
Cd7 Cd 0.4953 0.1610 0.5088 1
Ag1 Ag 0.0883 0.7642 0.3228 1
```

Values from the calculation:
ρ: 8.5 g/cm³
magnetic moment: 0.00 μB/atom
uncorrected energy: -2.280 eV/atom